(1)
The following is a PBE calculation of a relaxed structure of TeHSe, from Alexandria.

Unit cell a=5.0423 b=5.0423 c=2.9452 alpha=90.14 beta=90.14 gamma=73.29
Fractional coordinates of all 3 atoms:
Te (0.0000, 0.0000, 0.0000)
H (0.3111, 0.3111, 0.9997)
Se (0.5017, 0.5017, 0.0005)

Results
* energy above the most stable polymorph in this dataset: 62 meV per atom
* symmetry: Cm, No. 8
* crystal system: monoclinic



(2)
The following is a PBE calculation of a relaxed structure of Be2Cd, from Alexandria.

Unit cell a=6.1839 b=6.1839 c=3.9816 alpha=90.00 beta=90.00 gamma=120.00
Fractional coordinates of all 9 atoms:
Be (0.0000, 0.2203, 0.0000)
Be (0.0000, 0.4127, 0.5000)
Be (0.2203, 0.0000, 0.0000)
Be (0.4127, 0.0000, 0.5000)
Be (0.5873, 0.5873, 0.5000)
Be (0.7797, 0.7797, 0.0000)
Cd (0.0000, 0.0000, 0.5000)
Cd (0.3333, 0.6667, 0.0000)
Cd (0.6667, 0.3333, 0.0000)

Results
* energy above the most stable polymorph in this dataset: 418 meV per atom
* formation enthalpy at 0 K: 187 kJ/mol of formula units
* symmetry: P-62m, No. 189
* crystal system: hexagonal



(3)
The following is a PBE calculation of a relaxed structure of Er3Ga5, from Alexandria.

Unit cell a=11.3510 b=9.6396 c=6.0685 alpha=90.00 beta=90.00 gamma=90.00
Fractional coordinates of all 32 atoms:
Er (0.0740, 0.2500, 0.1528)
Er (0.1479, 0.5102, 0.6098)
Er (0.1479, 0.9898, 0.6098)
Er (0.3521, 0.0102, 0.1098)
Er (0.3521, 0.4898, 0.1098)
Er (0.4260, 0.7500, 0.6528)
Er (0.5740, 0.2500, 0.3472)
Er (0.6479, 0.5102, 0.8902)
Er (0.6479, 0.9898, 0.8902)
Er (0.8521, 0.0102, 0.3902)
Er (0.8521, 0.4898, 0.3902)
Er (0.9260, 0.7500, 0.8472)
Ga (0.0064, 0.2500, 0.6282)
Ga (0.0904, 0.5521, 0.1266)
Ga (0.0904, 0.9479, 0.1266)
Ga (0.2001, 0.7500, 0.8973)
Ga (0.2487, 0.7500, 0.3263)
Ga (0.2513, 0.2500, 0.8263)
Ga (0.2999, 0.2500, 0.3973)
Ga (0.4096, 0.0521, 0.6266)
Ga (0.4096, 0.4479, 0.6266)
Ga (0.4936, 0.7500, 0.1282)
Ga (0.5064, 0.2500, 0.8718)
Ga (0.5904, 0.5521, 0.3734)
Ga (0.5904, 0.9479, 0.3734)
Ga (0.7001, 0.7500, 0.6027)
Ga (0.7487, 0.7500, 0.1737)
Ga (0.7513, 0.2500, 0.6737)
Ga (0.7999, 0.2500, 0.1027)
Ga (0.9096, 0.0521, 0.8734)
Ga (0.9096, 0.4479, 0.8734)
Ga (0.9936, 0.7500, 0.3718)

Results
* energy above the most stable polymorph in this dataset: 0 meV per atom
* formation enthalpy at 0 K: -496 kJ/mol of formula units
* symmetry: Pnma, No. 62
* crystal system: orthorhombic



no.,Fermi-level density of states (states/eV/cell),size of the total moment (μB per cell)
1,0.66,0.0
2,3.78,0.0
3,18.59,0.0